Density functional theory data (GGA-PBE) for an optimized crystal structure of LaNiOs.

Cell and atoms, written as CIF:
```
data_LaNiOs
_chemical_formula_sum 'La4 Ni4 Os4'
_space_group_name_H-M_alt 'P 1'
_space_group_IT_number 1
_space_group_name_Hall 'P 1'
_cell_length_a 5.103
_cell_length_b 5.473
_cell_length_c 7.805
_cell_angle_alpha 90.00
_cell_angle_beta 90.00
_cell_angle_gamma 90.00
loop_
_atom_site_label
_atom_site_fract_x
_atom_site_fract_y
_atom_site_fract_z
_atom_site_occupancy
La1 0.000 0.250 0.121 1
La2 0.000 0.750 0.879 1
La3 0.500 0.250 0.379 1
La4 0.500 0.750 0.621 1
Ni1 0.000 0.000 0.500 1
Ni2 0.000 0.500 0.500 1
Ni3 0.500 0.000 0.000 1
Ni4 0.500 0.500 0.000 1
Os1 0.250 0.250 0.750 1
Os2 0.250 0.750 0.250 1
Os3 0.750 0.250 0.750 1
Os4 0.750 0.750 0.250 1
```

Output
DFT formation energy = -0.23 eV per atom
V = 218.0 Å³/cell
crystal system = orthorhombic
ΔE to the lowest computed polymorph = 0.000 eV per atom
magnetic moment = 0.00 Bohr magnetons per cell